# AcSm9Tl2

An optimized crystal structure of AcSm9Tl2 (PBE, the Alexandria database).

It has space group P4/mmm (No. 123), with a = 4.997 Å, b = 4.997 Å, c = 15.405 Å, α = 90.00°, β = 90.00° and γ = 90.00°. The inequivalent atoms are Ac at (0.000, 0.000, 0.000), Sm at (0.000, 0.500, 0.179), Sm at (0.000, 0.500, 0.500), Sm at (0.500, 0.500, 0.000), Sm at (0.500, 0.500, 0.342) and Tl at (0.000, 0.000, 0.341).

Its density is 8.6 g/cm³. The size of the total moment is 0.0 μB per formula unit. The calculation puts the volume at 384.7 Å³/f.u. Its total energy is -4.38 eV/atom. The calculation puts the calculated formation energy at -0.0998 eV per atom.